No. 1
A plane-wave DFT calculation with PBE was carried out for crystalline BiO2 at its relaxed geometry.

a b c (Å): 5.561 5.561 5.561
angles (deg): 88.69 88.69 88.69
Fractional positions:
O: 0.592 0.592 0.119
Bi: 0.847 0.847 0.847
O: 0.659 0.084 0.084
Bi: 0.866 0.364 0.364
O: 0.176 0.176 0.176
O: 0.084 0.659 0.084
O: 0.592 0.119 0.592
O: 0.631 0.631 0.631
Bi: 0.364 0.364 0.866
Bi: 0.364 0.866 0.364
O: 0.084 0.084 0.659
O: 0.119 0.592 0.592

- space group = No. 160
- N(E_F) (states/eV/cell) = 8.6
- ΔE_f (raw) (eV/atom) = -0.925
- calculated total energy (eV/atom) = -5.525
- crystal system = trigonal

***

No. 2
A plane-wave DFT calculation with PBE was carried out for crystalline MoAs2 at its relaxed geometry.

a b c (Å): 4.367 4.367 4.367
angles (deg): 60.00 60.00 60.00
Each line ends with the local moment (μB).
Fractional positions:
Mo: 0.000 0.000 0.000  1.31
As: 0.250 0.250 0.250  -0.03
As: 0.750 0.750 0.750  -0.03

- space group = No. 225
- N(E_F) (states/eV/cell) = 2.1
- calculated total energy (eV/atom) = -6.478
- crystal system = cubic
- calculated formation energy (eV per atom) = 0.2316